No. 1
This record from Alexandria describes a relaxed LaInNi2 crystal. The functional is PBE-GGA.

abc: 4.677 4.677 17.372
angles: 90.00 90.00 90.00
Space group I-42d (No. 122)
Asymmetric unit:
La 0.000 0.000 0.000
In 0.000 0.000 0.500
Ni 0.050 0.250 0.625

Calculated values
formation energy	0.028	eV per atom
crystal system	tetragonal
DFT total energy	-4.779	eV/atom


No. 2
This record from Alexandria describes a relaxed La2InNi2 crystal. The functional is PBE-GGA.

abc: 7.635 15.540 3.899
angles: 90.00 90.00 90.00
Space group Pbam (No. 55)
Asymmetric unit:
La 0.108 0.216 0.000
La 0.244 0.964 0.000
In 0.074 0.627 0.500
Ni 0.057 0.075 0.500
Ni 0.194 0.818 0.500

Calculated values
formation energy	-0.460	eV per atom
crystal system	orthorhombic
DFT total energy	-5.291	eV/atom


No. 3
This record from Alexandria describes a relaxed LaIn2Ni crystal. The functional is PBE-GGA.

abc: 4.330 4.388 5.032
angles: 90.00 90.00 90.00
Space group Pmmm (No. 47)
Asymmetric unit:
La 0.000 0.000 0.000
In 0.000 0.500 0.500
In 0.500 0.000 0.500
Ni 0.500 0.500 0.000

Calculated values
formation energy	-0.182	eV per atom
crystal system	orthorhombic
DFT total energy	-4.228	eV/atom


No. 4
This record from Alexandria describes a relaxed LaIn4Ni4 crystal. The functional is PBE-GGA.

abc: 8.548 8.548 5.116
angles: 90.00 90.00 90.00
Space group P4_2/n (No. 86, origin choice 2)
Asymmetric unit:
La 0.250 0.250 0.250
In 0.096 0.639 0.148
Ni 0.052 0.598 0.647

Calculated values
formation energy	-0.107	eV per atom
crystal system	tetragonal
DFT total energy	-4.441	eV/atom